Ac3PtBr2O6 GGA-PBE optimized geometry; calculated total energy = -6.090 eV/atom; energy relative to the elements, uncorrected = -1.802 eV/atom; M_tot = 0.20 Bohr magnetons per cell; volume = 21.40 A^3/atom
1.0
5.997 0.000 0.692
0.000 7.055 0.000
0.165 -3.527 6.089
Ac O Pt Br
3 6 1 2
Cartesian
3.081 1.764 3.390 Ac
0.000 3.527 0.000 Ac
3.081 -1.764 3.390 Ac
2.010 -1.875 5.624 O
2.010 1.875 5.624 O
4.151 1.652 1.156 O
4.037 3.527 4.656 O
4.151 5.403 1.156 O
2.124 0.000 2.124 O
2.998 0.000 0.346 Pt
0.625 3.527 2.918 Br
5.537 0.000 3.863 Br